1.
! AcHoEr2Se4, optimized geometry, DFT PBE-GGA; values from VASP
! Final energy   -5.676 eV per atom
! Space group   No. 10
! Magnetic moment   0.0 μB per formula unit
! Energy relative to the elements, uncorrected   -1707 meV per atom
&SYSTEM
  ibrav = 0, nat = 8, ntyp = 4
/
ATOMIC_SPECIES
Ac 227.00 Ac.upf
Er 167.26 Er.upf
Se 78.96 Se.upf
Ho 164.93 Ho.upf
ATOMIC_POSITIONS angstrom
Ac -0.5154 0.4300 4.0677
Er 1.8697 3.2204 1.9327
Er 6.0303 3.3946 2.4434
Se 3.6197 3.5136 4.1237
Se -0.3671 3.4678 3.6181
Se 1.3799 0.7409 6.4550
Se 5.3666 0.7867 6.9607
Ho 3.6452 0.6042 4.5783
CELL_PARAMETERS angstrom
-2.2909 3.0462 1.4220
1.2601 -2.1862 6.7133
6.0303 3.3946 2.4434

2.
! Ac3Ho3ErSe8, optimized geometry, DFT PBE-GGA; values from VASP
! Final energy   -5.744 eV per atom
! Space group   No. 166
! Magnetic moment   0.0 μB per formula unit
! Energy relative to the elements, uncorrected   -1844 meV per atom
&SYSTEM
  ibrav = 0, nat = 15, ntyp = 4
/
ATOMIC_SPECIES
Er 167.26 Er.upf
Se 78.96 Se.upf
Ac 227.00 Ac.upf
Ho 164.93 Ho.upf
ATOMIC_POSITIONS angstrom
Er -3.7955 1.4360 -1.4532
Se -2.7205 -3.4583 2.7430
Se -4.2443 -5.0443 -0.7342
Se -6.1388 -2.1624 1.2153
Se -3.1762 3.3285 4.7715
Se -1.2816 0.4467 2.8220
Se -4.6169 -0.5242 4.7270
Se -4.7000 1.7425 1.2943
Se -2.8036 -1.1916 -0.6897
Ac 1.5429 1.6044 3.5169
Ac 0.0000 0.0000 0.0000
Ac 0.0853 -2.2939 3.4719
Ho -5.2532 -2.4623 -1.4983
Ho -3.7102 -0.8579 2.0187
Ho -2.2526 3.0404 2.0637
CELL_PARAMETERS angstrom
-2.9154 -7.7966 -0.0900
3.0859 3.2088 7.0339
-7.5910 2.8720 -2.9065

3.
! AcHoEr2Se6, optimized geometry, DFT PBE-GGA; values from VASP
! Final energy   -5.745 eV per atom
! Space group   No. 146
! Magnetic moment   0.0 μB per formula unit
! Energy relative to the elements, uncorrected   -1873 meV per atom
&SYSTEM
  ibrav = 0, nat = 10, ntyp = 4
/
ATOMIC_SPECIES
Se 78.96 Se.upf
Er 167.26 Er.upf
Ho 164.93 Ho.upf
Ac 227.00 Ac.upf
ATOMIC_POSITIONS angstrom
Se 8.6700 2.5618 4.8181
Se 5.9492 6.3100 1.5698
Se 9.8333 4.4111 1.5702
Se 6.2464 1.9973 1.5696
Se 8.1318 6.2282 4.8178
Se 5.2262 3.9291 4.8177
Er 3.6714 2.1203 6.2822
Er 7.3429 4.2394 2.9021
Ho 3.6713 2.1197 0.2953
Ac 11.0140 6.3592 3.8134
CELL_PARAMETERS angstrom
7.3428 0.0000 0.0005
3.6714 6.3590 0.0003
3.6714 2.1201 6.4708

4.
! Ac2HoErSe6, optimized geometry, DFT PBE-GGA; values from VASP
! Final energy   -5.803 eV per atom
! Space group   No. 14
! Magnetic moment   0.0 μB per formula unit
! Energy relative to the elements, uncorrected   -1976 meV per atom
&SYSTEM
  ibrav = 0, nat = 20, ntyp = 4
/
ATOMIC_SPECIES
Ho 164.93 Ho.upf
Se 78.96 Se.upf
Ac 227.00 Ac.upf
Er 167.26 Er.upf
ATOMIC_POSITIONS angstrom
Ho 3.5952 0.0000 5.2607
Ho 0.0000 3.9380 0.0000
Se 6.2406 4.2415 2.6247
Se 2.6817 7.5725 7.9040
Se 1.2851 1.4809 4.6000
Se 4.5087 0.3035 2.6174
Se 2.3166 5.4121 4.5977
Se 5.9052 6.3951 5.9214
Se 5.9118 6.4018 9.8584
Se 1.2785 1.4741 0.6630
Se 0.9497 3.6345 7.8967
Se 4.8737 2.4639 5.9237
Se 4.8802 2.4571 9.8606
Se 2.3101 5.4188 0.6607
Ac 3.3269 3.1783 2.6246
Ac 6.9220 0.7596 7.8853
Ac 0.2683 7.1163 2.6361
Ac 3.8634 4.6976 7.8967
Er 3.5771 0.0000 -0.0093
Er 0.0181 3.9380 5.2700
CELL_PARAMETERS angstrom
7.1541 0.0000 -0.0186
0.0000 7.8760 0.0000
0.0362 0.0000 10.5400

5.
! Ac4Ho3ErSe8, optimized geometry, DFT PBE-GGA; values from VASP
! Final energy   -5.699 eV per atom
! Space group   No. 166
! Magnetic moment   0.0 μB per formula unit
! Energy relative to the elements, uncorrected   -1786 meV per atom
&SYSTEM
  ibrav = 0, nat = 16, ntyp = 4
/
ATOMIC_SPECIES
Se 78.96 Se.upf
Ac 227.00 Ac.upf
Ho 164.93 Ho.upf
Er 167.26 Er.upf
ATOMIC_POSITIONS angstrom
Se 6.1964 2.4070 0.2388
Se 2.0680 2.2680 5.9802
Se -2.0680 2.2680 5.9802
Se 4.1284 4.3338 3.0606
Se 0.0000 0.3412 3.1584
Se 4.1284 0.3398 3.1712
Se 0.0000 4.3352 3.0478
Se 2.0603 2.4070 0.2388
Ac 4.1283 0.0000 0.0000
Ac -2.0642 -2.0619 2.9204
Ac 0.0000 0.0000 0.0000
Ac 2.0642 -2.0619 2.9204
Ho 2.0642 2.3375 3.1095
Ho -2.0642 2.3375 3.1095
Ho 4.1283 4.3994 0.1891
Er 0.0000 4.3994 0.1891
CELL_PARAMETERS angstrom
8.2567 0.0000 0.0000
0.0000 8.7987 0.3781
-4.1283 -4.1237 5.8408

6.
! AcSmHoEr, optimized geometry, DFT PBE-GGA; values from VASP
! Final energy   -4.268 eV per atom
! Energy above the most stable polymorph in this dataset   108.3 meV/atom
! DFT formation energy   0.224 eV/atom
! Space group   No. 25
! Magnetic moment   0.0 μB per formula unit
&SYSTEM
  ibrav = 0, nat = 4, ntyp = 4
/
ATOMIC_SPECIES
Er 167.26 Er.upf
Ac 227.00 Ac.upf
Sm 150.36 Sm.upf
Ho 164.93 Ho.upf
ATOMIC_POSITIONS angstrom
Er -0.0838 -5.0433 1.6657
Ac 0.6855 -1.9816 3.8167
Sm 0.3710 -1.0513 0.4697
Ho 1.7530 -5.0028 4.8836
CELL_PARAMETERS angstrom
-3.3148 -1.1767 -0.0156
2.2158 -6.2712 2.2167
-0.6288 1.6993 5.4339

7.
! AcSm5Ho2Er, optimized geometry, DFT PBE-GGA; values from VASP
! Final energy   -4.515 eV per atom
! DFT formation energy   0.087 eV/atom
! Space group   No. 36
! Magnetic moment   0.0 μB per formula unit
&SYSTEM
  ibrav = 0, nat = 18, ntyp = 4
/
ATOMIC_SPECIES
Sm 150.36 Sm.upf
Er 167.26 Er.upf
Ho 164.93 Ho.upf
Ac 227.00 Ac.upf
ATOMIC_POSITIONS angstrom
Sm 2.5104 -3.3184 2.4879
Sm 0.8884 -5.3371 6.7243
Sm 5.7432 -4.4733 1.3141
Sm 0.5935 -0.9372 0.8026
Sm 2.8398 -9.1581 4.8257
Sm 2.0915 -5.3266 0.0938
Sm 3.1130 -7.8201 8.2866
Sm -2.4422 -5.7878 4.6613
Sm -1.1877 -4.1657 1.2995
Sm -0.2381 -8.2324 6.1874
Er 0.0154 -6.9802 9.7859
Er 0.6456 -6.5904 3.1183
Ho -2.1610 -4.4292 8.0864
Ho 3.9810 -7.6885 1.7759
Ho -0.0176 -3.1857 4.4875
Ho 0.6810 -10.3819 8.4103
Ac 3.9301 -5.8008 4.7453
Ac -3.2682 -7.7687 8.1564
CELL_PARAMETERS angstrom
-2.5929 -4.2100 -2.9989
8.5627 -2.7057 1.9703
-3.9364 -4.9346 10.3309

8.
! AcSmHo2Er, optimized geometry, DFT PBE-GGA; values from VASP
! Final energy   -4.115 eV per atom
! DFT formation energy   0.394 eV/atom
! Space group   No. 63
! Magnetic moment   0.0 μB per formula unit
&SYSTEM
  ibrav = 0, nat = 10, ntyp = 4
/
ATOMIC_SPECIES
Er 167.26 Er.upf
Ac 227.00 Ac.upf
Ho 164.93 Ho.upf
Sm 150.36 Sm.upf
ATOMIC_POSITIONS angstrom
Er -6.2824 3.2926 -1.4725
Er -3.5054 2.4442 2.0384
Ac -5.2959 5.4359 1.2731
Ac -4.4918 0.3008 -0.7072
Ho -1.0744 -0.8538 -0.8239
Ho -1.7770 1.7427 -2.5983
Ho -3.9491 0.0167 -4.2639
Ho -3.2465 -2.5799 -2.4894
Sm -6.8369 1.1528 1.4681
Sm -2.9508 4.5839 -0.9022
CELL_PARAMETERS angstrom
-1.4053 5.1930 -3.5490
-4.3209 -3.4336 -3.3133
-4.0616 3.9774 7.4281

9.
! AcSmHo4Er2, optimized geometry, DFT PBE-GGA; values from VASP
! Final energy   -4.487 eV per atom
! DFT formation energy   0.046 eV/atom
! Space group   No. 47
! Magnetic moment   0.0 μB per formula unit
&SYSTEM
  ibrav = 0, nat = 8, ntyp = 4
/
ATOMIC_SPECIES
Sm 150.36 Sm.upf
Ho 164.93 Ho.upf
Er 167.26 Er.upf
Ac 227.00 Ac.upf
ATOMIC_POSITIONS angstrom
Sm -1.0435 -6.5514 2.7142
Ho -3.5072 -5.1445 0.6040
Ho -1.5640 -9.7983 4.0029
Ho -3.5942 -7.0396 5.1135
Ho -5.5375 -2.3859 1.7146
Er -1.1336 -8.5122 7.3778
Er -3.0740 -3.7968 3.8336
Ac -2.9839 -1.8360 -0.8301
CELL_PARAMETERS angstrom
-5.0144 0.9185 0.2893
-0.9534 -4.5906 -1.9496
-1.1336 -8.5122 7.3778

10.
! AcSm3HoEr, optimized geometry, DFT PBE-GGA; values from VASP
! Final energy   -4.354 eV per atom
! DFT formation energy   0.214 eV/atom
! Space group   No. 12
! Magnetic moment   0.0 μB per formula unit
&SYSTEM
  ibrav = 0, nat = 12, ntyp = 4
/
ATOMIC_SPECIES
Sm 150.36 Sm.upf
Ho 164.93 Ho.upf
Er 167.26 Er.upf
Ac 227.00 Ac.upf
ATOMIC_POSITIONS angstrom
Sm 0.0000 4.9248 2.5672
Sm 2.7205 0.0322 5.1871
Sm 0.0000 3.5403 6.0224
Sm 0.0000 10.5424 4.5644
Sm 2.7205 7.0343 3.7291
Sm 2.7205 5.6498 7.1843
Ho 0.0000 1.4455 3.1138
Ho 2.7205 9.1291 6.6377
Er 2.7205 3.4295 4.2529
Er 0.0000 7.1451 5.4986
Ac 2.7205 2.8276 0.8168
Ac 0.0000 7.7470 8.9347
CELL_PARAMETERS angstrom
5.4410 0.0000 0.0000
-2.7205 11.2053 2.6750
0.0000 -0.6307 7.0765